Here is crystalline ReAg2Ge4 at its relaxed geometry from Alexandria. Energies are from PBE. Values from VASP.

Energy = -33.04 eV per cell
Spin magnetization = 0.0 μB per formula unit
Formation enthalpy at 0 K = 0.51 eV per atom
SG = I4/mmm (139)
Crystal system = tetragonal

```
&SYSTEM
  ibrav = 0, nat = 7, ntyp = 3
/
ATOMIC_SPECIES
Re 186.21 Re.upf
Ag 107.87 Ag.upf
Ge 72.64 Ge.upf
CELL_PARAMETERS angstrom
-2.454 2.454 6.503
2.454 -2.454 6.503
2.454 2.454 -6.503
ATOMIC_POSITIONS crystal
Re 0.000 0.000 0.000
Ag 0.383 0.383 0.000
Ag 0.617 0.617 0.000
Ge 0.000 0.500 0.500
Ge 0.190 0.190 0.000
Ge 0.500 0.000 0.500
Ge 0.810 0.810 0.000
```

---

Here is crystalline ReAgGe2 at its relaxed geometry from Alexandria. Energies are from PBE. Values from VASP.

Relative energy among the computed polymorphs = 0.6347 eV per atom
Energy = -42.54 eV per cell
Spin magnetization = 0.0 μB per formula unit
Formation enthalpy at 0 K = 0.82 eV per atom
SG = I-42d (122)
Crystal system = tetragonal

```
&SYSTEM
  ibrav = 0, nat = 8, ntyp = 3
/
ATOMIC_SPECIES
Re 186.21 Re.upf
Ag 107.87 Ag.upf
Ge 72.64 Ge.upf
CELL_PARAMETERS angstrom
-2.932 2.932 5.627
2.932 -2.932 5.627
2.932 2.932 -5.627
ATOMIC_POSITIONS crystal
Re 0.000 0.000 0.000
Re 0.750 0.250 0.500
Ag 0.250 0.750 0.500
Ag 0.500 0.500 0.000
Ge 0.090 0.625 0.965
Ge 0.375 0.340 0.465
Ge 0.660 0.125 0.035
Ge 0.875 0.910 0.535
```

---

Here is crystalline ReAgGe2 at its relaxed geometry from Alexandria. Energies are from PBE. Values from VASP.

Relative energy among the computed polymorphs = 0.3723 eV per atom
Energy = -22.32 eV per cell
Spin magnetization = 0.0 μB per formula unit
Formation enthalpy at 0 K = 0.55 eV per atom
SG = Fm-3m (225)
Crystal system = cubic

```
&SYSTEM
  ibrav = 0, nat = 4, ntyp = 3
/
ATOMIC_SPECIES
Re 186.21 Re.upf
Ag 107.87 Ag.upf
Ge 72.64 Ge.upf
CELL_PARAMETERS angstrom
0.000 3.191 3.191
3.191 0.000 3.191
3.191 3.191 0.000
ATOMIC_POSITIONS crystal
Re 0.000 0.000 0.000
Ag 0.500 0.500 0.500
Ge 0.250 0.250 0.250
Ge 0.750 0.750 0.750
```

---

Here is crystalline Re2AgGe at its relaxed geometry from Alexandria. Energies are from PBE. Values from VASP.

Energy = -56.93 eV per cell
Spin magnetization = 0.0 μB per formula unit
Formation enthalpy at 0 K = 0.97 eV per atom
SG = I-42d (122)
Crystal system = tetragonal

```
&SYSTEM
  ibrav = 0, nat = 8, ntyp = 3
/
ATOMIC_SPECIES
Re 186.21 Re.upf
Ag 107.87 Ag.upf
Ge 72.64 Ge.upf
CELL_PARAMETERS angstrom
-3.665 3.665 2.546
3.665 -3.665 2.546
3.665 3.665 -2.546
ATOMIC_POSITIONS crystal
Re 0.084 0.625 0.959
Re 0.375 0.334 0.459
Re 0.666 0.125 0.041
Re 0.875 0.916 0.541
Ag 0.250 0.750 0.500
Ag 0.500 0.500 0.000
Ge 0.000 0.000 0.000
Ge 0.750 0.250 0.500
```

---

Here is crystalline Re3AgGe at its relaxed geometry from Alexandria. Energies are from PBE. Values from VASP.

Relative energy among the computed polymorphs = 1.1774 eV per atom
Energy = -29.42 eV per cell
Spin magnetization = 4.2 μB per formula unit
Formation enthalpy at 0 K = 3.08 eV per atom
SG = Pm-3m (221)
Crystal system = cubic

```
&SYSTEM
  ibrav = 0, nat = 5, ntyp = 3
/
ATOMIC_SPECIES
Re 186.21 Re.upf
Ag 107.87 Ag.upf
Ge 72.64 Ge.upf
CELL_PARAMETERS angstrom
4.796 0.000 0.000
0.000 4.796 0.000
0.000 0.000 4.796
ATOMIC_POSITIONS crystal
Re 0.000 0.000 0.500
Re 0.000 0.500 0.000
Re 0.500 0.000 0.000
Ag 0.000 0.000 0.000
Ge 0.500 0.500 0.500
```

---

Here is crystalline ReAgGe2 at its relaxed geometry from Alexandria. Energies are from PBE. Values from VASP.

Relative energy among the computed polymorphs = 0.0000 eV per atom
Energy = -23.81 eV per cell
Spin magnetization = 0.0 μB per formula unit
Formation enthalpy at 0 K = 0.18 eV per atom
SG = R-3m (166)
Crystal system = trigonal

```
&SYSTEM
  ibrav = 0, nat = 4, ntyp = 3
/
ATOMIC_SPECIES
Re 186.21 Re.upf
Ag 107.87 Ag.upf
Ge 72.64 Ge.upf
CELL_PARAMETERS angstrom
1.516 0.875 8.984
-1.516 0.875 8.984
0.000 -1.750 8.984
ATOMIC_POSITIONS crystal
Re 0.000 0.000 0.000
Ag 0.500 0.500 0.500
Ge 0.404 0.404 0.404
Ge 0.596 0.596 0.596
```

---

Here is crystalline Sr2ReAgGe at its relaxed geometry from Alexandria. Energies are from PBE. Values from VASP.

Energy = -18.33 eV per cell
Spin magnetization = 3.8 μB per formula unit
Formation enthalpy at 0 K = 0.99 eV per atom
SG = P4/mmm (123)
Crystal system = tetragonal

```
&SYSTEM
  ibrav = 0, nat = 5, ntyp = 4
/
ATOMIC_SPECIES
Sr 87.62 Sr.upf
Re 186.21 Re.upf
Ag 107.87 Ag.upf
Ge 72.64 Ge.upf
CELL_PARAMETERS angstrom
5.997 0.000 0.000
0.000 5.997 0.000
0.000 0.000 4.774
ATOMIC_POSITIONS crystal
Sr 0.000 0.500 0.000
Sr 0.500 0.000 0.000
Re 0.000 0.000 0.500
Ag 0.500 0.500 0.500
Ge 0.500 0.500 0.000
```

---

Here is crystalline Ag3GeRh at its relaxed geometry from Alexandria. Energies are from PBE. Values from VASP.

Relative energy among the computed polymorphs = 0.0000 eV per atom
Energy = -16.17 eV per cell
Spin magnetization = 0.0 μB per formula unit
Formation enthalpy at 0 K = 0.87 eV per atom
SG = Pm-3m (221)
Crystal system = cubic

```
&SYSTEM
  ibrav = 0, nat = 5, ntyp = 3
/
ATOMIC_SPECIES
Ag 107.87 Ag.upf
Ge 72.64 Ge.upf
Rh 102.91 Rh.upf
CELL_PARAMETERS angstrom
4.755 0.000 0.000
0.000 4.755 0.000
0.000 0.000 4.755
ATOMIC_POSITIONS crystal
Ag 0.000 0.000 0.500
Ag 0.000 0.500 0.000
Ag 0.500 0.000 0.000
Ge 0.000 0.000 0.000
Rh 0.500 0.500 0.500
```